# 1
VASP calculation (PBE) on an optimized crystal structure of Ho2Sn2Pd5.

Output
Calculated formation energy = -0.6635 eV/atom
Total DFT energy (no corrections) = -196.39 eV per cell
N(E_F) = 0.414 states/eV per atom

abc: 15.292 7.136 6.952
angles: 90.00 90.00 90.00
Space group Ima2 (No. 46)
Asymmetric unit:
Ho1 0.119 0.070 0.000
Sn1 0.000 0.000 0.390
Sn2 0.250 0.537 0.140
Pd1 0.011 0.686 0.207
Pd2 0.162 0.671 0.836
Pd3 0.250 0.193 0.306

***

# 2
VASP calculation (PBE) on an optimized crystal structure of Ho5Sn2Pd12.

Output
Calculated formation energy = -0.7904 eV/atom
Total DFT energy (no corrections) = -216.45 eV per cell
N(E_F) = 0.386 states/eV per atom

abc: 14.847 7.273 6.798
angles: 90.00 92.78 90.00
Space group C2/m (No. 12)
Asymmetric unit:
Ho1 0.000 0.000 0.000
Ho2 0.190 0.500 0.548
Ho3 0.245 0.000 0.933
Sn1 0.000 0.261 0.500
Pd1 0.055 0.500 0.196
Pd2 0.108 0.300 0.857
Pd3 0.126 0.000 0.598
Pd4 0.157 0.189 0.248

***

# 3
VASP calculation (PBE) on an optimized crystal structure of HoSnPd2.

Output
Calculated formation energy = -0.8743 eV/atom
Total DFT energy (no corrections) = -44.93 eV per cell
N(E_F) = 0.635 states/eV per atom

abc: 4.793 4.793 6.769
angles: 90.00 90.00 90.00
Space group I4/mmm (No. 139)
Asymmetric unit:
Ho1 0.000 0.000 0.000
Sn1 0.000 0.000 0.500
Pd1 0.000 0.500 0.250

***

# 4
VASP calculation (PBE) on an optimized crystal structure of HoSn6Pd.

Output
Calculated formation energy = -0.2373 eV/atom
Total DFT energy (no corrections) = -71.37 eV per cell
N(E_F) = 0.403 states/eV per atom

abc: 6.260 10.975 6.571
angles: 90.00 113.65 90.00
Space group C2/m (No. 12)
Asymmetric unit:
Ho1 0.000 0.000 0.000
Sn1 0.045 0.500 0.265
Sn2 0.112 0.227 0.749
Pd1 0.000 0.000 0.500

***

# 5
VASP calculation (PBE) on an optimized crystal structure of HoSnPd2.

Output
Calculated formation energy = -0.7579 eV/atom
Total DFT energy (no corrections) = -22.00 eV per cell
N(E_F) = 0.704 states/eV per atom

abc: 4.612 4.612 3.726
angles: 90.00 90.00 90.00
Space group P4/mmm (No. 123)
Asymmetric unit:
Ho1 0.000 0.000 0.000
Sn1 0.500 0.500 0.000
Pd1 0.000 0.500 0.500

***

# 6
VASP calculation (PBE) on an optimized crystal structure of HoSnPd14.

Output
Calculated formation energy = -0.3296 eV/atom
Total DFT energy (no corrections) = -86.55 eV per cell
N(E_F) = 1.614 states/eV per atom

abc: 5.725 5.725 7.890
angles: 90.00 90.00 90.00
Space group P4/mmm (No. 123)
Asymmetric unit:
Ho1 0.000 0.000 0.000
Sn1 0.500 0.500 0.000
Pd1 0.000 0.000 0.500
Pd2 0.000 0.500 0.000
Pd3 0.000 0.500 0.500
Pd4 0.252 0.252 0.254
Pd5 0.500 0.500 0.500